(1)
A plane-wave DFT calculation with SCAN was carried out for BeAg2Te at its PBEsol-relaxed geometry.

## Properties
Formation energy (no corrections) in eV/atom: 0.153
Total energy in eV/atom: -25.932
ΔE to the lowest computed polymorph in eV/f.u.: 0.00

Cell and atoms, written as CIF:
```
data_BeAg2Te
_symmetry_space_group_name_H-M 'P 1 m 1'
_symmetry_Int_Tables_number 6
_cell_length_a 3.167
_cell_length_b 3.712
_cell_length_c 6.330
_cell_angle_alpha 90.00
_cell_angle_beta 90.27
_cell_angle_gamma 90.00
loop_
_symmetry_equiv_pos_as_xyz
'x,y,z'
'x,-y,z'
loop_
_atom_site_label
_atom_site_type_symbol
_atom_site_fract_x
_atom_site_fract_y
_atom_site_fract_z
_atom_site_occupancy
Be1 Be 0.000 0.000 0.000 1
Ag1 Ag 0.500 0.500 0.848 1
Ag2 Ag 0.999 0.000 0.627 1
Te1 Te 0.002 0.500 0.262 1
```

---

(2)
A plane-wave DFT calculation with SCAN was carried out for Rb2PrAgI6 at its PBEsol-relaxed geometry.

## Properties
Formation energy (no corrections) in eV/atom: -1.300
Total energy in eV/atom: -34.962

Cell and atoms, written as CIF:
```
data_Rb2PrAgI6
_symmetry_space_group_name_H-M 'F m -3 m'
_symmetry_Int_Tables_number 225
_symmetry_space_group_name_Hall '-F 4 2 3'
_cell_length_a 12.025
_cell_length_b 12.025
_cell_length_c 12.025
_cell_angle_alpha 90.00
_cell_angle_beta 90.00
_cell_angle_gamma 90.00
loop_
_atom_site_label
_atom_site_type_symbol
_atom_site_fract_x
_atom_site_fract_y
_atom_site_fract_z
_atom_site_occupancy
Rb1 Rb 0.250 0.250 0.250 1
Pr1 Pr 0.000 0.000 0.000 1
Ag1 Ag 0.000 0.000 0.500 1
I1 I 0.000 0.000 0.256 1
```

---

(3)
A plane-wave DFT calculation with SCAN was carried out for TaTc at its PBEsol-relaxed geometry.

## Properties
Energy of formation from the pure elements in eV per atom: -0.35
Total energy in eV/atom: -51.173

Cell and atoms, written as CIF:
```
data_TaTc
_symmetry_space_group_name_H-M 'C 1 m 1'
_symmetry_Int_Tables_number 8
_cell_length_a 10.014
_cell_length_b 3.157
_cell_length_c 6.298
_cell_angle_alpha 90.00
_cell_angle_beta 108.43
_cell_angle_gamma 90.00
loop_
_symmetry_equiv_pos_as_xyz
'x,y,z'
'x,-y,z'
'x+1/2,y+1/2,z'
'x+1/2,-y+1/2,z'
loop_
_atom_site_label
_atom_site_type_symbol
_atom_site_fract_x
_atom_site_fract_y
_atom_site_fract_z
_atom_site_occupancy
Ta1 Ta 0.000 0.000 0.000 1
Ta2 Ta 0.007 0.000 0.511 1
Ta3 Ta 0.182 0.500 0.342 1
Tc1 Tc 0.169 0.500 0.839 1
Tc2 Tc 0.340 0.000 0.172 1
Tc3 Tc 0.340 0.000 0.673 1
```

---

(4)
A plane-wave DFT calculation with SCAN was carried out for V2GeO4F2 at its PBEsol-relaxed geometry.

## Properties
Formation energy (no corrections) in eV/atom: -2.571
Total energy in eV/atom: -12.134

Cell and atoms, written as CIF:
```
data_V2GeO4F2
_symmetry_space_group_name_H-M 'P n m a'
_symmetry_Int_Tables_number 62
_cell_length_a 9.367
_cell_length_b 8.675
_cell_length_c 4.965
_cell_angle_alpha 90.00
_cell_angle_beta 90.00
_cell_angle_gamma 90.00
loop_
_symmetry_equiv_pos_as_xyz
'x,y,z'
'-x,-y,-z'
'-x+1/2,-y,z+1/2'
'x+1/2,y,-z+1/2'
'x+1/2,-y+1/2,-z+1/2'
'-x+1/2,y+1/2,z+1/2'
'-x,y+1/2,-z'
'x,-y+1/2,z'
loop_
_atom_site_label
_atom_site_type_symbol
_atom_site_fract_x
_atom_site_fract_y
_atom_site_fract_z
_atom_site_occupancy
V1 V 0.130 0.087 0.093 1
Ge1 Ge 0.061 0.750 0.399 1
O1 O 0.007 0.586 0.215 1
O2 O 0.021 0.250 0.281 1
O3 O 0.249 0.750 0.439 1
F1 F 0.247 0.564 0.906 1
```

---

(5)
A plane-wave DFT calculation with SCAN was carried out for ScCdAu2 at its PBEsol-relaxed geometry.

## Properties
Energy of formation from the pure elements in eV per atom: -0.63
Total energy in eV/atom: -46.372

Cell and atoms, written as CIF:
```
data_ScCdAu2
_symmetry_space_group_name_H-M 'P 4/m m m'
_symmetry_Int_Tables_number 123
_symmetry_space_group_name_Hall '-P 4 2'
_cell_length_a 4.582
_cell_length_b 4.582
_cell_length_c 3.533
_cell_angle_alpha 90.00
_cell_angle_beta 90.00
_cell_angle_gamma 90.00
loop_
_atom_site_label
_atom_site_type_symbol
_atom_site_fract_x
_atom_site_fract_y
_atom_site_fract_z
_atom_site_occupancy
Sc1 Sc 0.000 0.000 0.000 1
Cd1 Cd 0.500 0.500 0.000 1
Au1 Au 0.000 0.500 0.500 1
```

---

(6)
A plane-wave DFT calculation with SCAN was carried out for TaSbS2Cl at its PBEsol-relaxed geometry.

## Properties
Formation energy (no corrections) in eV/atom: -0.179
Total energy in eV/atom: -26.395

Cell and atoms, written as CIF:
```
data_TaSbS2Cl
_symmetry_space_group_name_H-M 'P 4/m m m'
_symmetry_Int_Tables_number 123
_symmetry_space_group_name_Hall '-P 4 2'
_cell_length_a 4.777
_cell_length_b 4.777
_cell_length_c 4.704
_cell_angle_alpha 90.00
_cell_angle_beta 90.00
_cell_angle_gamma 90.00
loop_
_atom_site_label
_atom_site_type_symbol
_atom_site_fract_x
_atom_site_fract_y
_atom_site_fract_z
_atom_site_occupancy
Ta1 Ta 0.000 0.000 0.000 1
Sb1 Sb 0.500 0.500 0.500 1
S1 S 0.000 0.500 0.000 1
Cl1 Cl 0.000 0.000 0.500 1
```

---

(7)
A plane-wave DFT calculation with SCAN was carried out for MgRe2Se at its PBEsol-relaxed geometry.

## Properties
Formation energy (no corrections) in eV/atom: 0.550
Total energy in eV/atom: -41.262
ΔE to the lowest computed polymorph in eV/f.u.: 0.09

Cell and atoms, written as CIF:
```
data_MgRe2Se
_symmetry_space_group_name_H-M 'I m m 2'
_symmetry_Int_Tables_number 44
_cell_length_a 2.972
_cell_length_b 4.592
_cell_length_c 9.330
_cell_angle_alpha 90.00
_cell_angle_beta 90.00
_cell_angle_gamma 90.00
loop_
_symmetry_equiv_pos_as_xyz
'x,y,z'
'-x,-y,z'
'-x,y,z'
'x,-y,z'
'x+1/2,y+1/2,z+1/2'
'-x+1/2,-y+1/2,z+1/2'
'-x+1/2,y+1/2,z+1/2'
'x+1/2,-y+1/2,z+1/2'
loop_
_atom_site_label
_atom_site_type_symbol
_atom_site_fract_x
_atom_site_fract_y
_atom_site_fract_z
_atom_site_occupancy
Mg1 Mg 0.000 0.000 0.000 1
Re1 Re 0.000 0.000 0.506 1
Re2 Re 0.000 0.500 0.778 1
Se1 Se 0.000 0.500 0.228 1
```

---

(8)
A plane-wave DFT calculation with SCAN was carried out for CrFeAsBr2 at its PBEsol-relaxed geometry.

## Properties
Formation energy (no corrections) in eV/atom: 0.328
Total energy in eV/atom: -18.797

Cell and atoms, written as CIF:
```
data_CrFeAsBr2
_symmetry_space_group_name_H-M 'P 4/m m m'
_symmetry_Int_Tables_number 123
_symmetry_space_group_name_Hall '-P 4 2'
_cell_length_a 5.001
_cell_length_b 5.001
_cell_length_c 4.425
_cell_angle_alpha 90.00
_cell_angle_beta 90.00
_cell_angle_gamma 90.00
loop_
_atom_site_label
_atom_site_type_symbol
_atom_site_fract_x
_atom_site_fract_y
_atom_site_fract_z
_atom_site_occupancy
Cr1 Cr 0.000 0.000 0.000 1
Fe1 Fe 0.500 0.500 0.500 1
As1 As 0.500 0.500 0.000 1
Br1 Br 0.000 0.500 0.500 1
```

---

(9)
A plane-wave DFT calculation with SCAN was carried out for Cs2YSbAs at its PBEsol-relaxed geometry.

## Properties
Formation energy (no corrections) in eV/atom: 0.263
Total energy in eV/atom: -31.920

Cell and atoms, written as CIF:
```
data_Cs2YSbAs
_symmetry_space_group_name_H-M 'P 4/m m m'
_symmetry_Int_Tables_number 123
_symmetry_space_group_name_Hall '-P 4 2'
_cell_length_a 7.234
_cell_length_b 7.234
_cell_length_c 5.212
_cell_angle_alpha 90.00
_cell_angle_beta 90.00
_cell_angle_gamma 90.00
loop_
_atom_site_label
_atom_site_type_symbol
_atom_site_fract_x
_atom_site_fract_y
_atom_site_fract_z
_atom_site_occupancy
Cs1 Cs 0.000 0.500 0.000 1
Y1 Y 0.000 0.000 0.000 1
Sb1 Sb 0.500 0.500 0.500 1
As1 As 0.000 0.000 0.500 1
```

---

(10)
A plane-wave DFT calculation with SCAN was carried out for CrNi3 at its PBEsol-relaxed geometry.

## Properties
Energy of formation from the pure elements in eV per atom: 0.09
Total energy in eV/atom: -16.637

Cell and atoms, written as CIF:
```
data_CrNi3
_symmetry_space_group_name_H-M 'P m m 2'
_symmetry_Int_Tables_number 25
_cell_length_a 2.435
_cell_length_b 3.996
_cell_length_c 4.302
_cell_angle_alpha 90.00
_cell_angle_beta 90.00
_cell_angle_gamma 90.00
loop_
_symmetry_equiv_pos_as_xyz
'x,y,z'
'-x,-y,z'
'-x,y,z'
'x,-y,z'
loop_
_atom_site_label
_atom_site_type_symbol
_atom_site_fract_x
_atom_site_fract_y
_atom_site_fract_z
_atom_site_occupancy
Cr1 Cr 0.000 0.000 0.000 1
Ni1 Ni 0.000 0.500 0.315 1
Ni2 Ni 0.500 0.000 0.498 1
Ni3 Ni 0.500 0.500 0.816 1
```